Compound: Cs2KCuCl5
Source: the Alexandria database
Functional: PBE
Structure: optimized geometry

```
Cs2KCuCl5
1.0
2.215 -10.121 0.000
2.215 10.121 0.000
0.000 0.000 15.062
Cs K Cu Cl
4 2 2 10
Cartesian
2.215 7.502 7.531
2.215 7.322 2.416
2.215 -7.322 9.947
2.215 -7.502 0.000
2.215 6.203 12.987
2.215 -6.203 5.456
2.215 1.301 2.954
2.215 -1.301 10.485
2.215 9.213 11.304
2.215 4.066 7.583
2.215 3.510 3.156
2.215 3.144 12.578
2.215 0.152 8.832
2.215 -0.152 1.301
2.215 -3.144 5.047
2.215 -3.510 10.687
2.215 -4.066 0.051
2.215 -9.213 3.773
```

Symmetry: Cmc2_1
Formation energy from raw total energies in eV/atom: -1.451

***

Compound: Si5C
Source: the Alexandria database
Functional: PBE
Structure: optimized geometry

```
Si5C
1.0
5.806 0.000 0.000
-2.903 5.028 0.000
0.000 0.000 2.770
Si C
5 1
Cartesian
-2.128 3.686 0.000
0.775 1.343 0.000
0.000 3.352 1.385
2.903 1.676 1.385
4.256 0.000 0.000
0.000 0.000 1.385
```

Symmetry: P-62m
Formation energy from raw total energies in eV/atom: 0.584
Energy above the most stable polymorph in this dataset in eV per atom: 0.095

***

Compound: Ir2RuAu
Source: the Alexandria database
Functional: PBE
Structure: optimized geometry

```
Ir2RuAu
1.0
2.733 0.000 0.000
0.000 4.759 0.000
0.000 0.000 9.614
Ir Ru Au
4 2 2
Cartesian
0.000 0.000 0.000
0.000 2.379 2.312
1.366 0.000 2.312
1.366 2.379 0.000
0.000 0.000 4.575
1.366 2.379 4.575
0.000 2.379 7.085
1.366 0.000 7.085
```

Symmetry: Cmm2
Energy above the most stable polymorph in this dataset in eV per atom: 0.263
ΔH_f (0 K) in kcal/mol of atoms: 9.71

***

Compound: Si2HgB2
Source: the Alexandria database
Functional: PBE
Structure: optimized geometry

```
Si2HgB2
1.0
6.735 0.000 0.000
0.000 6.735 0.000
0.000 0.000 3.097
Si Hg B
4 2 4
Cartesian
0.926 2.442 0.000
2.442 5.809 0.000
4.293 0.926 0.000
5.809 4.293 0.000
0.000 0.000 1.548
3.367 3.367 1.548
0.622 3.989 1.548
2.745 0.622 1.548
3.989 6.113 1.548
6.113 2.745 1.548
```

Symmetry: P4/mbm
Formation energy from raw total energies in eV/atom: 0.985
Energy above the most stable polymorph in this dataset in eV per atom: 0.291

***

Compound: Dy8BiC4
Source: the Alexandria database
Functional: PBE
Structure: optimized geometry

```
Dy8BiC4
1.0
8.742 -1.816 0.000
8.742 1.816 0.000
-7.801 0.000 9.024
Dy Bi C
8 1 4
Cartesian
-1.120 0.000 2.127
1.781 0.000 3.891
4.602 0.000 1.432
-0.665 0.000 8.229
10.349 0.000 0.796
5.082 0.000 7.592
7.903 0.000 5.133
10.804 0.000 6.897
-3.900 0.000 4.512
-4.891 0.000 8.665
0.606 0.000 6.047
9.078 0.000 2.978
14.575 0.000 0.360
```

Symmetry: C2/m
Energy above the most stable polymorph in this dataset in eV per atom: 0.000
ΔH_f (0 K) in kcal/mol of atoms: -7.83

***

Compound: Pa4SbC
Source: the Alexandria database
Functional: PBE
Structure: optimized geometry

```
Pa4SbC
1.0
7.587 0.000 0.000
0.000 5.964 0.000
-0.588 0.000 6.343
Pa Sb C
8 2 2
Cartesian
0.477 0.811 2.229
0.183 2.171 5.401
1.950 3.366 2.605
1.656 5.580 5.776
5.343 0.384 0.567
5.049 2.598 3.738
6.816 3.794 0.942
6.522 5.153 4.114
3.499 0.000 3.171
3.793 2.982 0.000
0.000 0.000 0.000
-0.294 2.982 3.171
```

Symmetry: P2_1/c
Formation energy from raw total energies in eV/atom: -0.039

***

In eV/cell, the raw total energy values for the records above are, in order, -58.388; -32.836; -57.181; -39.152; -82.009; -103.127.